w:
# CdB2O4 | Alexandria via LeMat-Bulk | meta-GGA SCAN | single point on PBEsol structure
# Density in Mg/m³: 4.5
# SG: Pccn, No. 56
data_CdB2O4
_symmetry_space_group_name_H-M 'P 1'
_symmetry_Int_Tables_number 1
_cell_length_a 5.073
_cell_length_b 8.154
_cell_length_c 14.070
_cell_angle_alpha 90.00
_cell_angle_beta 90.00
_cell_angle_gamma 90.00
loop_
_symmetry_equiv_pos_as_xyz
'x,y,z'
loop_
_atom_site_label
_atom_site_type_symbol
_atom_site_fract_x
_atom_site_fract_y
_atom_site_fract_z
Cd1 Cd 0.517 0.115 0.150
Cd2 Cd 0.017 0.115 0.350
Cd3 Cd 0.017 0.385 0.150
Cd4 Cd 0.517 0.385 0.350
Cd5 Cd 0.483 0.615 0.650
Cd6 Cd 0.983 0.615 0.850
Cd7 Cd 0.983 0.885 0.650
Cd8 Cd 0.483 0.885 0.850
B1 B 0.469 0.033 0.638
B2 B 0.969 0.033 0.862
B3 B 0.731 0.243 0.550
B4 B 0.231 0.243 0.950
B5 B 0.231 0.257 0.550
B6 B 0.731 0.257 0.950
B7 B 0.969 0.467 0.638
B8 B 0.469 0.467 0.862
B9 B 0.531 0.533 0.138
B10 B 0.031 0.533 0.362
B11 B 0.269 0.743 0.050
B12 B 0.769 0.743 0.450
B13 B 0.769 0.757 0.050
B14 B 0.269 0.757 0.450
B15 B 0.031 0.967 0.138
B16 B 0.531 0.967 0.362
O1 O 0.708 0.086 0.604
O2 O 0.208 0.086 0.896
O3 O 0.051 0.109 0.190
O4 O 0.551 0.109 0.310
O5 O 0.244 0.120 0.618
O6 O 0.744 0.120 0.882
O7 O 0.480 0.238 0.006
O8 O 0.980 0.238 0.494
O9 O 0.980 0.262 0.006
O10 O 0.480 0.262 0.494
O11 O 0.744 0.380 0.618
O12 O 0.244 0.380 0.882
O13 O 0.551 0.391 0.190
O14 O 0.051 0.391 0.310
O15 O 0.208 0.414 0.604
O16 O 0.708 0.414 0.896
O17 O 0.292 0.586 0.104
O18 O 0.792 0.586 0.396
O19 O 0.949 0.609 0.690
O20 O 0.449 0.609 0.810
O21 O 0.756 0.620 0.118
O22 O 0.256 0.620 0.382
O23 O 0.520 0.738 0.506
O24 O 0.020 0.738 0.994
O25 O 0.020 0.762 0.506
O26 O 0.520 0.762 0.994
O27 O 0.256 0.880 0.118
O28 O 0.756 0.880 0.382
O29 O 0.449 0.891 0.690
O30 O 0.949 0.891 0.810
O31 O 0.792 0.914 0.104
O32 O 0.292 0.914 0.396

x:
# CdB2O4 | Alexandria via LeMat-Bulk | meta-GGA SCAN | single point on PBEsol structure
# Density in Mg/m³: 4.4
# SG: R3c, No. 161
data_CdB2O4
_symmetry_space_group_name_H-M 'P 1'
_symmetry_Int_Tables_number 1
_cell_length_a 7.693
_cell_length_b 7.693
_cell_length_c 7.693
_cell_angle_alpha 96.90
_cell_angle_beta 96.90
_cell_angle_gamma 96.90
loop_
_symmetry_equiv_pos_as_xyz
'x,y,z'
loop_
_atom_site_label
_atom_site_type_symbol
_atom_site_fract_x
_atom_site_fract_y
_atom_site_fract_z
Cd1 Cd 0.195 0.497 0.840
Cd2 Cd 0.340 0.997 0.695
Cd3 Cd 0.695 0.340 0.997
Cd4 Cd 0.497 0.840 0.195
Cd5 Cd 0.840 0.195 0.497
Cd6 Cd 0.997 0.695 0.340
B1 B 0.008 0.046 0.815
B2 B 0.563 0.715 0.809
B3 B 0.315 0.546 0.508
B4 B 0.063 0.309 0.215
B5 B 0.215 0.063 0.309
B6 B 0.508 0.315 0.546
B7 B 0.046 0.815 0.008
B8 B 0.809 0.563 0.715
B9 B 0.715 0.809 0.563
B10 B 0.546 0.508 0.315
B11 B 0.309 0.215 0.063
B12 B 0.815 0.008 0.046
O1 O 0.093 0.905 0.870
O2 O 0.067 0.124 0.685
O3 O 0.402 0.236 0.930
O4 O 0.430 0.736 0.902
O5 O 0.185 0.624 0.567
O6 O 0.088 0.178 0.325
O7 O 0.370 0.405 0.593
O8 O 0.236 0.930 0.402
O9 O 0.678 0.588 0.825
O10 O 0.567 0.185 0.624
O11 O 0.588 0.825 0.678
O12 O 0.870 0.093 0.905
O13 O 0.405 0.593 0.370
O14 O 0.178 0.325 0.088
O15 O 0.124 0.685 0.067
O16 O 0.325 0.088 0.178
O17 O 0.902 0.430 0.736
O18 O 0.593 0.370 0.405
O19 O 0.825 0.678 0.588
O20 O 0.736 0.902 0.430
O21 O 0.624 0.567 0.185
O22 O 0.685 0.067 0.124
O23 O 0.930 0.402 0.236
O24 O 0.905 0.870 0.093

Of them, w has the highest stability.

w:
# Cd3B2O6 | Alexandria via LeMat-Bulk | meta-GGA SCAN | single point on PBEsol structure
# Density in Mg/m³: 5.8
# SG: Pnnm, No. 58
data_Cd3B2O6
_symmetry_space_group_name_H-M 'P 1'
_symmetry_Int_Tables_number 1
_cell_length_a 4.786
_cell_length_b 5.978
_cell_length_c 9.057
_cell_angle_alpha 90.00
_cell_angle_beta 90.00
_cell_angle_gamma 90.00
loop_
_symmetry_equiv_pos_as_xyz
'x,y,z'
loop_
_atom_site_label
_atom_site_type_symbol
_atom_site_fract_x
_atom_site_fract_y
_atom_site_fract_z
Cd1 Cd 0.000 0.500 0.189
Cd2 Cd 0.500 0.000 0.311
Cd3 Cd 0.000 0.500 0.811
Cd4 Cd 0.500 0.000 0.689
Cd5 Cd 0.500 0.500 0.500
Cd6 Cd 0.000 0.000 0.000
B1 B 0.035 0.240 0.500
B2 B 0.465 0.740 0.000
B3 B 0.965 0.760 0.500
B4 B 0.535 0.260 0.000
O1 O 0.320 0.784 0.869
O2 O 0.820 0.716 0.631
O3 O 0.320 0.784 0.131
O4 O 0.680 0.216 0.131
O5 O 0.820 0.716 0.369
O6 O 0.180 0.284 0.369
O7 O 0.743 0.676 0.000
O8 O 0.243 0.824 0.500
O9 O 0.757 0.176 0.500
O10 O 0.257 0.324 0.000
O11 O 0.680 0.216 0.869
O12 O 0.180 0.284 0.631

x:
# Cd3B2O6 | Alexandria via LeMat-Bulk | meta-GGA SCAN | single point on PBEsol structure
# Density in Mg/m³: 5.6
# SG: P-1, No. 2
data_Cd3B2O6
_symmetry_space_group_name_H-M 'P 1'
_symmetry_Int_Tables_number 1
_cell_length_a 6.124
_cell_length_b 6.176
_cell_length_c 7.460
_cell_angle_alpha 76.41
_cell_angle_beta 80.67
_cell_angle_gamma 82.45
loop_
_symmetry_equiv_pos_as_xyz
'x,y,z'
loop_
_atom_site_label
_atom_site_type_symbol
_atom_site_fract_x
_atom_site_fract_y
_atom_site_fract_z
Cd1 Cd 0.271 0.936 0.441
Cd2 Cd 0.729 0.064 0.559
Cd3 Cd 0.624 0.240 0.998
Cd4 Cd 0.376 0.760 0.002
Cd5 Cd 0.868 0.556 0.295
Cd6 Cd 0.132 0.444 0.705
B1 B 0.620 0.565 0.638
B2 B 0.380 0.435 0.362
B3 B 0.088 0.167 0.127
B4 B 0.912 0.833 0.873
O1 O 0.608 0.756 0.496
O2 O 0.392 0.244 0.504
O3 O 0.462 0.529 0.796
O4 O 0.538 0.471 0.204
O5 O 0.309 0.072 0.119
O6 O 0.691 0.928 0.881
O7 O 0.794 0.402 0.614
O8 O 0.206 0.598 0.386
O9 O 0.988 0.256 0.971
O10 O 0.012 0.744 0.029
O11 O 0.977 0.174 0.304
O12 O 0.023 0.826 0.696

Of them, w has the highest stability.

w:
# BSCl2F | Alexandria via LeMat-Bulk | meta-GGA SCAN | single point on PBEsol structure
# Density in Mg/m³: 3.1
# SG: P4/mmm, No. 123
data_BSCl2F
_symmetry_space_group_name_H-M 'P 1'
_symmetry_Int_Tables_number 1
_cell_length_a 3.987
_cell_length_b 4.248
_cell_length_c 4.248
_cell_angle_alpha 90.00
_cell_angle_beta 90.00
_cell_angle_gamma 90.00
loop_
_symmetry_equiv_pos_as_xyz
'x,y,z'
loop_
_atom_site_label
_atom_site_type_symbol
_atom_site_fract_x
_atom_site_fract_y
_atom_site_fract_z
S1 S 0.500 0.000 0.000
F1 F 0.500 0.500 0.500
B1 B 0.000 0.000 0.000
Cl1 Cl 0.000 0.000 0.500
Cl2 Cl 0.000 0.500 0.000

x:
# BSCl2F | Alexandria via LeMat-Bulk | meta-GGA SCAN | single point on PBEsol structure
# Density in Mg/m³: 2.2
# SG: P4/mmm, No. 123
data_BSCl2F
_symmetry_space_group_name_H-M 'P 1'
_symmetry_Int_Tables_number 1
_cell_length_a 3.518
_cell_length_b 5.312
_cell_length_c 5.312
_cell_angle_alpha 90.00
_cell_angle_beta 90.00
_cell_angle_gamma 90.00
loop_
_symmetry_equiv_pos_as_xyz
'x,y,z'
loop_
_atom_site_label
_atom_site_type_symbol
_atom_site_fract_x
_atom_site_fract_y
_atom_site_fract_z
S1 S 0.500 0.000 0.000
F1 F 0.000 0.000 0.000
B1 B 0.500 0.500 0.500
Cl1 Cl 0.000 0.000 0.500
Cl2 Cl 0.000 0.500 0.000

Of them, w has the highest stability.

w:
# BIrCl2 | Alexandria via LeMat-Bulk | meta-GGA SCAN | single point on PBEsol structure
# Density in Mg/m³: 6.9
# SG: R-3m, No. 166
data_BIrCl2
_symmetry_space_group_name_H-M 'P 1'
_symmetry_Int_Tables_number 1
_cell_length_a 2.857
_cell_length_b 2.857
_cell_length_c 9.418
_cell_angle_alpha 81.27
_cell_angle_beta 81.27
_cell_angle_gamma 60.00
loop_
_symmetry_equiv_pos_as_xyz
'x,y,z'
loop_
_atom_site_label
_atom_site_type_symbol
_atom_site_fract_x
_atom_site_fract_y
_atom_site_fract_z
B1 B 0.000 0.000 0.000
Ir1 Ir 0.500 0.500 0.500
Cl1 Cl 0.940 0.940 0.179
Cl2 Cl 0.060 0.060 0.821

x:
# BIrCl2 | Alexandria via LeMat-Bulk | meta-GGA SCAN | single point on PBEsol structure
# Density in Mg/m³: 8.0
# SG: R-3m, No. 166
data_BIrCl2
_symmetry_space_group_name_H-M 'P 1'
_symmetry_Int_Tables_number 1
_cell_length_a 2.967
_cell_length_b 2.967
_cell_length_c 7.626
_cell_angle_alpha 78.78
_cell_angle_beta 78.78
_cell_angle_gamma 60.00
loop_
_symmetry_equiv_pos_as_xyz
'x,y,z'
loop_
_atom_site_label
_atom_site_type_symbol
_atom_site_fract_x
_atom_site_fract_y
_atom_site_fract_z
B1 B 0.500 0.500 0.500
Ir1 Ir 0.000 0.000 0.000
Cl1 Cl 0.898 0.898 0.307
Cl2 Cl 0.102 0.102 0.693

Of them, w has the highest stability.

w:
# BClO2 | Alexandria via LeMat-Bulk | meta-GGA SCAN | single point on PBEsol structure
# Density in Mg/m³: 3.5
# SG: Fm-3m, No. 225
data_BClO2
_symmetry_space_group_name_H-M 'P 1'
_symmetry_Int_Tables_number 1
_cell_length_a 3.757
_cell_length_b 3.757
_cell_length_c 3.757
_cell_angle_alpha 60.00
_cell_angle_beta 60.00
_cell_angle_gamma 60.00
loop_
_symmetry_equiv_pos_as_xyz
'x,y,z'
loop_
_atom_site_label
_atom_site_type_symbol
_atom_site_fract_x
_atom_site_fract_y
_atom_site_fract_z
B1 B 0.000 0.000 0.000
O1 O 0.250 0.250 0.250
O2 O 0.750 0.750 0.750
Cl1 Cl 0.500 0.500 0.500

x:
# BClO2 | Alexandria via LeMat-Bulk | meta-GGA SCAN | single point on PBEsol structure
# Density in Mg/m³: 2.2
# SG: R-3m, No. 166
data_BClO2
_symmetry_space_group_name_H-M 'P 1'
_symmetry_Int_Tables_number 1
_cell_length_a 2.793
_cell_length_b 2.793
_cell_length_c 8.839
_cell_angle_alpha 80.91
_cell_angle_beta 80.91
_cell_angle_gamma 60.00
loop_
_symmetry_equiv_pos_as_xyz
'x,y,z'
loop_
_atom_site_label
_atom_site_type_symbol
_atom_site_fract_x
_atom_site_fract_y
_atom_site_fract_z
B1 B 0.000 0.000 0.000
O1 O 0.951 0.951 0.146
O2 O 0.049 0.049 0.854
Cl1 Cl 0.500 0.500 0.500

Of them, x has the highest stability.

w:
# BP2PtCl | Alexandria via LeMat-Bulk | meta-GGA SCAN | single point on PBEsol structure
# Density in Mg/m³: 4.8
# SG: P4/mmm, No. 123
data_BP2PtCl
_symmetry_space_group_name_H-M 'P 1'
_symmetry_Int_Tables_number 1
_cell_length_a 4.543
_cell_length_b 4.543
_cell_length_c 5.095
_cell_angle_alpha 90.00
_cell_angle_beta 90.00
_cell_angle_gamma 90.00
loop_
_symmetry_equiv_pos_as_xyz
'x,y,z'
loop_
_atom_site_label
_atom_site_type_symbol
_atom_site_fract_x
_atom_site_fract_y
_atom_site_fract_z
P1 P 0.000 0.500 0.000
P2 P 0.500 0.000 0.000
B1 B 0.500 0.500 0.500
Pt1 Pt 0.000 0.000 0.000
Cl1 Cl 0.000 0.000 0.500

x:
# BP2PtCl | Alexandria via LeMat-Bulk | meta-GGA SCAN | single point on PBEsol structure
# Density in Mg/m³: 7.3
# SG: P4/mmm, No. 123
data_BP2PtCl
_symmetry_space_group_name_H-M 'P 1'
_symmetry_Int_Tables_number 1
_cell_length_a 4.004
_cell_length_b 4.140
_cell_length_c 4.140
_cell_angle_alpha 90.00
_cell_angle_beta 90.00
_cell_angle_gamma 90.00
loop_
_symmetry_equiv_pos_as_xyz
'x,y,z'
loop_
_atom_site_label
_atom_site_type_symbol
_atom_site_fract_x
_atom_site_fract_y
_atom_site_fract_z
P1 P 0.000 0.000 0.500
P2 P 0.000 0.500 0.000
B1 B 0.000 0.000 0.000
Pt1 Pt 0.500 0.500 0.500
Cl1 Cl 0.500 0.000 0.000

Of them, x has the highest stability.